Material: Pm4Y8Er3
Method: DFT, PBE
State: optimized geometry

Cell lengths 12.486, 12.486, 12.486 Å; angles 32.47, 32.47, 32.47 degrees
Sites, in units of the cell vectors:
Pm  0.000  0.000  0.000
Pm  0.164  0.164  0.164
Pm  0.500  0.500  0.500
Pm  0.836  0.836  0.836
Y  0.250  0.250  0.747
Y  0.250  0.747  0.250
Y  0.253  0.750  0.750
Y  0.255  0.255  0.255
Y  0.745  0.745  0.745
Y  0.747  0.250  0.250
Y  0.750  0.253  0.750
Y  0.750  0.750  0.253
Er  0.000  0.500  0.500
Er  0.500  0.000  0.500
Er  0.500  0.500  0.000

As for the uncorrected energy: -5.4973 eV per atom. The calculation puts the distance to the lowest polymorph of the same formula at 0 meV per atom. The volume is 498.9 Å³/cell. The formation energy is 0.13 eV/atom.

***

Material: Pm12YEr5
Method: DFT, PBE
State: optimized geometry

Cell lengths 5.711, 10.451, 10.579 Å; angles 109.55, 90.00, 90.00 degrees
Sites, in units of the cell vectors:
Pm  0.000  0.004  0.167
Pm  0.000  0.332  0.446
Pm  0.000  0.668  0.554
Pm  0.000  0.996  0.833
Pm  0.001  0.327  0.778
Pm  0.499  0.826  0.276
Pm  0.500  0.168  0.054
Pm  0.500  0.496  0.332
Pm  0.500  0.504  0.668
Pm  0.500  0.832  0.946
Pm  0.501  0.174  0.724
Pm  0.999  0.673  0.222
Y  0.000  0.000  0.500
Er  0.000  0.341  0.112
Er  0.000  0.659  0.888
Er  0.500  0.159  0.387
Er  0.500  0.500  0.000
Er  0.500  0.841  0.613

As for the uncorrected energy: -4.7347 eV per atom. The volume is 595.0 Å³/cell. The formation energy is 0.06 eV/atom.

***

Material: Pm8Y4Er3
Method: DFT, PBE
State: optimized geometry

Cell lengths 9.161, 9.161, 6.909 Å; angles 110.70, 110.70, 83.01 degrees
Sites, in units of the cell vectors:
Pm  0.201  0.201  0.174
Pm  0.204  0.796  0.000
Pm  0.252  0.748  0.500
Pm  0.254  0.254  0.709
Pm  0.746  0.746  0.291
Pm  0.748  0.252  0.500
Pm  0.796  0.204  0.000
Pm  0.799  0.799  0.826
Y  0.000  0.500  0.000
Y  0.500  0.000  0.000
Y  0.500  0.500  0.000
Y  0.500  0.500  0.500
Er  0.000  0.000  0.500
Er  0.000  0.500  0.500
Er  0.500  0.000  0.500

As for the uncorrected energy: -4.8283 eV per atom. The volume is 507.4 Å³/cell. The formation energy is 0.34 eV/atom.

***

Material: Pm9Y2Er
Method: DFT, PBE
State: optimized geometry

Cell lengths 5.125, 5.125, 15.387 Å; angles 90.00, 90.00, 90.00 degrees
Sites, in units of the cell vectors:
Pm  0.000  0.000  0.000
Pm  0.000  0.000  0.333
Pm  0.000  0.000  0.667
Pm  0.000  0.500  0.166
Pm  0.000  0.500  0.500
Pm  0.000  0.500  0.834
Pm  0.500  0.000  0.166
Pm  0.500  0.000  0.500
Pm  0.500  0.000  0.834
Y  0.500  0.500  0.333
Y  0.500  0.500  0.667
Er  0.500  0.500  0.000

As for the uncorrected energy: -5.0048 eV per atom. The volume is 404.2 Å³/cell. The formation energy is 0.02 eV/atom.

***

Material: Pm3Y3Er
Method: DFT, PBE
State: optimized geometry

Cell lengths 14.811, 14.811, 14.811 Å; angles 24.35, 24.35, 24.35 degrees
Sites, in units of the cell vectors:
Pm  0.132  0.462  0.801
Pm  0.199  0.868  0.538
Pm  0.462  0.801  0.132
Pm  0.538  0.199  0.868
Pm  0.801  0.132  0.462
Pm  0.868  0.538  0.199
Y  0.065  0.732  0.398
Y  0.268  0.602  0.935
Y  0.398  0.065  0.732
Y  0.602  0.935  0.268
Y  0.732  0.398  0.065
Y  0.935  0.268  0.602
Er  0.333  0.333  0.333
Er  0.667  0.667  0.667

As for the uncorrected energy: -5.2944 eV per atom. The calculation puts the distance to the lowest polymorph of the same formula at 148 meV per atom. The volume is 485.5 Å³/cell. The formation energy is 0.16 eV/atom.

***

Material: Pm7Y12Er
Method: DFT, PBE
State: optimized geometry

Cell lengths 9.801, 9.801, 9.801 Å; angles 109.47, 109.47, 109.47 degrees
Sites, in units of the cell vectors:
Pm  0.000  0.000  0.500
Pm  0.000  0.500  0.000
Pm  0.000  0.500  0.500
Pm  0.500  0.000  0.000
Pm  0.500  0.000  0.500
Pm  0.500  0.500  0.000
Pm  0.500  0.500  0.500
Y  0.000  0.247  0.753
Y  0.000  0.753  0.247
Y  0.247  0.000  0.753
Y  0.247  0.247  0.494
Y  0.247  0.494  0.247
Y  0.247  0.753  0.000
Y  0.494  0.247  0.247
Y  0.506  0.753  0.753
Y  0.753  0.000  0.247
Y  0.753  0.247  0.000
Y  0.753  0.506  0.753
Y  0.753  0.753  0.506
Er  0.000  0.000  0.000

As for the uncorrected energy: -5.1268 eV per atom. The calculation puts the distance to the lowest polymorph of the same formula at 408 meV per atom. The volume is 724.8 Å³/cell. The formation energy is 0.64 eV/atom.